(1)
Below is crystalline Pm2Pr3In3 at its relaxed geometry, with properties calculated at the GGA-PBE level.

Lattice parameters (Å, degrees): 4.5373 5.0901 11.1332 103.21 101.76 90.00
With the nearest neighbours (Å) after each atom.
Sites, in units of the cell vectors:
Pr (0.3803, 0.3803, 0.7606)  6 In 3.40-3.41, 4 Pm 3.55-3.80, 2 Pr 3.59
In (0.0000, 0.5000, 0.0000)  8 Pr 3.40-3.41, 4 In 3.69
In (0.1262, 0.1262, 0.2525)  2 Pm 3.26, 6 Pr 3.41-3.51
Pm (0.7367, 0.2367, 0.4734)  2 In 3.26, 4 Pm 3.46, 2 Pr 3.55
Pr (0.6197, 0.6197, 0.2394)  6 In 3.40-3.41, 4 Pm 3.55-3.80, 2 Pr 3.59
Pm (0.2633, 0.7633, 0.5266)  2 In 3.26, 4 Pm 3.46, 2 Pr 3.55
In (0.8738, 0.8738, 0.7475)  2 Pm 3.26, 6 Pr 3.41-3.51
Pr (0.5000, 0.0000, 0.0000)  8 In 3.41-3.51, 4 Pr 3.59

Results
- energy relative to the elements (eV/atom) = -0.36
- energy above the lowest structure with this stoichiometry (eV/atom) = 0.000

***

(2)
Below is crystalline Ba2CaIr at its relaxed geometry, with properties calculated at the GGA-PBE level.

Lattice parameters (Å, degrees): 3.7854 3.7853 10.7523 90.00 90.00 89.97
With the nearest neighbours (Å) after each atom.
Sites, in units of the cell vectors:
Ca (0.0000, 0.0000, 0.5932)  4 Ir 3.05, 1 Ba 3.32
Ir (0.5000, 0.5000, 0.7291)  4 Ca 3.05, 4 Ba 3.26
Ba (0.0000, 0.0000, 0.9022)  4 Ir 3.26, 1 Ca 3.32
Ba (0.5000, 0.5000, 0.2756)  4 Ba 3.79

Results
- energy relative to the elements (eV/atom) = 0.03
- energy above the lowest structure with this stoichiometry (eV/atom) = 0.211

***

(3)
Below is crystalline Li3Sm4Tl4 at its relaxed geometry, with properties calculated at the GGA-PBE level.

Lattice parameters (Å, degrees): 3.4313 9.6843 10.5035 117.45 99.40 90.00
With the nearest neighbours (Å) after each atom.
Sites, in units of the cell vectors:
Tl (0.7172, 0.2172, 0.4344)  2 Li 2.90, 2 Sm 3.23
Li (0.0000, 0.5000, 0.0000)  4 Tl 3.35, 2 Li 3.43
Sm (0.6653, 0.4843, 0.3306)  4 Tl 3.23-3.26, 3 Sm 3.43-3.51
Sm (0.3347, 0.5157, 0.6694)  4 Tl 3.23-3.26, 3 Sm 3.43-3.51
Sm (0.3347, 0.1537, 0.6694)  4 Tl 3.23-3.26, 3 Sm 3.43-3.51
Li (0.0894, 0.0894, 0.1787)  6 Tl 2.90-3.08
Tl (0.2828, 0.7828, 0.5656)  2 Li 2.90, 2 Sm 3.23
Tl (0.5000, 0.7970, 0.0000)  6 Li 3.08-3.35, 2 Sm 3.23, 2 Tl 3.43
Tl (0.5000, 0.2030, 0.0000)  6 Li 3.08-3.35, 2 Sm 3.23, 2 Tl 3.43
Li (0.9106, 0.9106, 0.8213)  6 Tl 2.90-3.08
Sm (0.6653, 0.8463, 0.3306)  4 Tl 3.23-3.26, 3 Sm 3.43-3.51

Results
- energy relative to the elements (eV/atom) = -0.11

***

(4)
Below is crystalline ZrNp4N6 at its relaxed geometry, with properties calculated at the GGA-PBE level.

Lattice parameters (Å, degrees): 6.7604 6.7604 6.7604 88.84 88.84 91.16
With the nearest neighbours (Å) after each atom.
Sites, in units of the cell vectors:
Np (0.8964, 0.2500, 0.3964)  2 N 2.26
N (0.4469, 0.8120, 0.4084)  1 Zr 2.22, 2 Np 2.26-2.34
Np (0.7500, 0.7500, 0.2500)  6 N 2.34
Np (0.6036, 0.8964, 0.7500)  2 N 2.26
N (0.4084, 0.5531, 0.8120)  1 Zr 2.22, 2 Np 2.26-2.34
Np (0.7500, 0.3964, 0.8964)  2 N 2.26
Np (0.2500, 0.6036, 0.1036)  2 N 2.26
N (0.5531, 0.1880, 0.5916)  1 Zr 2.22, 2 Np 2.26-2.34
Zr (0.0000, 0.0000, 0.0000)  6 N 2.22
N (0.0531, 0.9084, 0.3120)  1 Zr 2.22, 2 Np 2.26-2.34
N (0.9469, 0.0916, 0.6880)  1 Zr 2.22, 2 Np 2.26-2.34
Np (0.3964, 0.1036, 0.2500)  2 N 2.26
N (0.5916, 0.4469, 0.1880)  1 Zr 2.22, 2 Np 2.26-2.34
N (0.3120, 0.9469, 0.9084)  1 Zr 2.22, 2 Np 2.26-2.34
Np (0.1036, 0.7500, 0.6036)  2 N 2.26
N (0.9084, 0.6880, 0.9469)  1 Zr 2.22, 2 Np 2.26-2.34
N (0.1880, 0.4084, 0.4469)  1 Zr 2.22, 2 Np 2.26-2.34
N (0.6880, 0.0531, 0.0916)  1 Zr 2.22, 2 Np 2.26-2.34
N (0.0916, 0.3120, 0.0531)  1 Zr 2.22, 2 Np 2.26-2.34
N (0.8120, 0.5916, 0.5531)  1 Zr 2.22, 2 Np 2.26-2.34
Zr (0.5000, 0.5000, 0.5000)  6 N 2.22
Np (0.2500, 0.2500, 0.7500)  6 N 2.34

Results
- E_form (uncorrected) (meV/atom) = -1046

***

(5)
Below is crystalline PmDyPb at its relaxed geometry, with properties calculated at the GGA-PBE level.

Lattice parameters (Å, degrees): 5.3072 3.6450 9.9719 100.30 90.00 90.00
With the nearest neighbours (Å) after each atom.
Sites, in units of the cell vectors:
Pb (0.8470, 0.9530, 0.3142)  1 Dy 3.24, 2 Pb 3.27, 6 Pm 3.39-3.52
Pm (0.8469, 0.5953, 0.6191)  6 Pb 3.38-3.52, 1 Dy 3.58, 2 Pm 3.65
Dy (0.8468, 0.7814, 0.9843)  1 Pb 3.24, 4 Dy 3.52, 1 Pm 3.58
Pb (0.3469, 0.0367, 0.5094)  1 Dy 3.24, 2 Pb 3.27, 6 Pm 3.38-3.52
Pm (0.3469, 0.3947, 0.2044)  6 Pb 3.39-3.52, 1 Dy 3.58, 2 Pm 3.65
Dy (0.3468, 0.2084, 0.8392)  1 Pb 3.24, 4 Dy 3.52, 1 Pm 3.58

Results
- energy relative to the elements (eV/atom) = -0.21
- energy above the lowest structure with this stoichiometry (eV/atom) = 0.237

***

(6)
Below is crystalline K2HoIr3O12 at its relaxed geometry, with properties calculated at the GGA-PBE level.

Lattice parameters (Å, degrees): 7.5942 7.5942 7.5942 57.39 57.39 57.39
With the nearest neighbours (Å) after each atom.
Sites, in units of the cell vectors:
Ho (0.0000, 0.0000, 0.0000)  6 O 2.22
Ir (0.0000, 0.0000, 0.5000)  6 O 1.88-1.95
O (0.3134, 0.9138, 0.3134)  2 Ir 1.95
Ir (0.0000, 0.5000, 0.0000)  6 O 1.88-1.95
O (0.6866, 0.6866, 0.0862)  2 Ir 1.95
O (0.0736, 0.0736, 0.6468)  1 Ir 1.88
O (0.3134, 0.3134, 0.9138)  2 Ir 1.95
Ir (0.5000, 0.0000, 0.0000)  6 O 1.88-1.95
O (0.3532, 0.9264, 0.9264)  1 Ir 1.88
K (0.6044, 0.6044, 0.6044)  6 O 3.06-3.37
K (0.3956, 0.3956, 0.3956)  6 O 3.06-3.37
O (0.0862, 0.6866, 0.6866)  2 Ir 1.95
O (0.6866, 0.0862, 0.6866)  2 Ir 1.95
O (0.9264, 0.3532, 0.9264)  1 Ir 1.88
O (0.0736, 0.6468, 0.0736)  1 Ir 1.88
O (0.9138, 0.3134, 0.3134)  2 Ir 1.95
O (0.6468, 0.0736, 0.0736)  1 Ir 1.88
O (0.9264, 0.9264, 0.3532)  1 Ir 1.88

Results
- E_form (uncorrected) (meV/atom) = -1180

***

(7)
Below is crystalline SrErAg2 at its relaxed geometry, with properties calculated at the GGA-PBE level.

Lattice parameters (Å, degrees): 3.7351 3.7351 7.6499 90.00 90.00 90.00
With the nearest neighbours (Å) after each atom.
Sites, in units of the cell vectors:
Er (0.5000, 0.5000, 0.0000)  8 Ag 3.08
Sr (0.5000, 0.5000, 0.5000)  8 Ag 3.46, 4 Sr 3.74, 2 Er 3.82
Ag (0.0000, 0.0000, 0.7923)  4 Er 3.08, 1 Ag 3.18
Ag (0.0000, 0.0000, 0.2077)  4 Er 3.08, 1 Ag 3.18

Results
- energy relative to the elements (eV/atom) = -0.29
- energy above the lowest structure with this stoichiometry (eV/atom) = 0.000

***

(8)
Below is crystalline PrSc2Hg at its relaxed geometry, with properties calculated at the GGA-PBE level.

Lattice parameters (Å, degrees): 4.6565 4.6794 4.6794 90.00 90.00 90.00
With the nearest neighbours (Å) after each atom.
Sites, in units of the cell vectors:
Sc (0.0000, 0.0000, 0.5000)  4 Hg 3.30, 4 Pr 3.30, 4 Sc 3.31
Hg (0.5000, 0.0000, 0.0000)  8 Sc 3.30, 4 Pr 3.31
Pr (0.5000, 0.5000, 0.5000)  8 Sc 3.30, 4 Hg 3.31
Sc (0.0000, 0.5000, 0.0000)  4 Hg 3.30, 4 Pr 3.30, 4 Sc 3.31

Results
- energy relative to the elements (eV/atom) = -0.14
- energy above the lowest structure with this stoichiometry (eV/atom) = 0.046